# GaPdW3

A crystal of GaPdW3 relaxed with PBEsol (SCAN, the Alexandria database).

abc: 4.4928 4.4928 4.4928
angles: 90.00 90.00 90.00
Closest atoms and distances in Å follow each position.
Element x y z (fractional)
Pd: 0.5000 0.5000 0.5000  12 W 3.18
W: 0.0000 0.5000 0.0000  2 Ga 2.25
W: 0.5000 0.0000 0.0000  2 Ga 2.25
W: 0.0000 0.0000 0.5000  2 Ga 2.25
Ga: 0.0000 0.0000 0.0000  6 W 2.25

energy relative to the elements = 1.9781 eV per atom
ρ = 13.32 Mg/m³

---

# Y3GaPd

A crystal of Y3GaPd relaxed with PBEsol (SCAN, the Alexandria database).

abc: 5.2767 5.2767 5.2767
angles: 90.00 90.00 90.00
Closest atoms and distances in Å follow each position.
Element x y z (fractional)
Y: 0.0000 0.0000 0.5000  2 Pd 2.64
Y: 0.0000 0.5000 0.0000  2 Pd 2.64
Y: 0.5000 0.0000 0.0000  2 Pd 2.64
Ga: 0.5000 0.5000 0.5000  12 Y 3.73
Pd: 0.0000 0.0000 0.0000  6 Y 2.64

energy relative to the elements = -0.2383 eV per atom
ρ = 5.01 Mg/m³

---

# Y2Ga2Pd

A crystal of Y2Ga2Pd relaxed with PBEsol (SCAN, the Alexandria database).

abc: 4.2972 6.8684 6.8684
angles: 90.00 90.00 90.00
Closest atoms and distances in Å follow each position.
Element x y z (fractional)
Y: 0.5000 0.1713 0.6713  6 Ga 2.87-3.01
Y: 0.5000 0.6713 0.8287  6 Ga 2.87-3.01
Y: 0.5000 0.8287 0.3287  6 Ga 2.87-3.01
Y: 0.5000 0.3287 0.1713  6 Ga 2.87-3.01
Pd: 0.0000 0.0000 0.0000  4 Ga 2.68
Pd: 0.0000 0.5000 0.5000  4 Ga 2.68
Ga: 0.0000 0.1330 0.3670  1 Ga 2.58, 2 Pd 2.68, 2 Y 2.87
Ga: 0.0000 0.6330 0.1330  1 Ga 2.58, 2 Pd 2.68, 2 Y 2.87
Ga: 0.0000 0.8670 0.6330  1 Ga 2.58, 2 Pd 2.68, 2 Y 2.87
Ga: 0.0000 0.3670 0.8670  1 Ga 2.58, 2 Pd 2.68, 2 Y 2.87

energy relative to the elements = -0.8585 eV per atom
ρ = 6.94 Mg/m³